No. 1
# SrPdO3 PBE optimized geometry
data_SrPdO3
_cell_length_a 12.5742
_cell_length_b 3.2362
_cell_length_c 6.5246
_cell_angle_alpha 90.00
_cell_angle_beta 96.91
_cell_angle_gamma 90.00
_symmetry_space_group_name_H-M 'C 1 m 1'
_symmetry_Int_Tables_number 8
loop_
_symmetry_equiv_pos_as_xyz
'x,y,z'
'x,-y,z'
'x+1/2,y+1/2,z'
'x+1/2,-y+1/2,z'
loop_
_atom_site_label
_atom_site_type_symbol
_atom_site_fract_x
_atom_site_fract_y
_atom_site_fract_z
Sr1 Sr 0.0000 0.0000 0.0000
Sr2 Sr 0.2394 0.5000 0.7347
Pd1 Pd 0.0079 0.0000 0.4736
Pd2 Pd 0.2610 0.0000 0.2318
O1 O 0.0198 0.5000 0.6842
O2 O 0.1700 0.0000 0.4827
O3 O 0.1779 0.5000 0.0872
O4 O 0.3366 0.5000 0.3992
O5 O 0.3436 0.0000 0.9716
O6 O 0.4928 0.0000 0.2883
# uncorrected energy: -112.34 eV/cell
# size of the total moment: 0.000 Bohr magnetons per cell

No. 2
# NaPrPt4 PBE optimized geometry
data_NaPrPt4
_cell_length_a 7.7088
_cell_length_b 7.7088
_cell_length_c 7.7088
_cell_angle_alpha 90.00
_cell_angle_beta 90.00
_cell_angle_gamma 90.00
_symmetry_space_group_name_H-M 'F -4 3 m'
_symmetry_Int_Tables_number 216
_symmetry_space_group_name_Hall 'F -4 2 3'
loop_
_atom_site_label
_atom_site_type_symbol
_atom_site_fract_x
_atom_site_fract_y
_atom_site_fract_z
Na1 Na 0.0000 0.0000 0.0000
Pr1 Pr 0.2500 0.2500 0.7500
Pt1 Pt 0.1254 0.1254 0.3746
# size of the total moment: 0.000 Bohr magnetons per cell
# DFT formation energy: -471 kJ/mol of formula units

No. 3
# TmFe3Ge2 PBE optimized geometry
data_TmFe3Ge2
_cell_length_a 14.7799
_cell_length_b 3.8433
_cell_length_c 7.1852
_cell_angle_alpha 90.00
_cell_angle_beta 116.42
_cell_angle_gamma 90.00
_symmetry_space_group_name_H-M 'C 1 2/m 1'
_symmetry_Int_Tables_number 12
loop_
_symmetry_equiv_pos_as_xyz
'x,y,z'
'-x,-y,-z'
'-x,y,-z'
'x,-y,z'
'x+1/2,y+1/2,z'
'-x+1/2,-y+1/2,-z'
'-x+1/2,y+1/2,-z'
'x+1/2,-y+1/2,z'
loop_
_atom_site_label
_atom_site_type_symbol
_atom_site_fract_x
_atom_site_fract_y
_atom_site_fract_z
Tm1 Tm 0.1453 0.0000 0.0583
Fe1 Fe 0.0423 0.0000 0.3969
Fe2 Fe 0.0820 0.5000 0.6420
Fe3 Fe 0.1930 0.5000 0.4691
Ge1 Ge 0.0238 0.5000 0.1892
Ge2 Ge 0.1973 0.0000 0.7060
# size of the total moment: 9.557 Bohr magnetons per cell
# DFT formation energy: -201 kJ/mol of formula units

No. 4
# Pm3Nd8Tm2 PBE optimized geometry
data_Pm3Nd8Tm2
_cell_length_a 13.2422
_cell_length_b 11.8799
_cell_length_c 6.2375
_cell_angle_alpha 90.00
_cell_angle_beta 113.40
_cell_angle_gamma 90.00
_symmetry_space_group_name_H-M 'C 1 2/m 1'
_symmetry_Int_Tables_number 12
loop_
_symmetry_equiv_pos_as_xyz
'x,y,z'
'-x,-y,-z'
'-x,y,-z'
'x,-y,z'
'x+1/2,y+1/2,z'
'-x+1/2,-y+1/2,-z'
'-x+1/2,y+1/2,-z'
'x+1/2,-y+1/2,z'
loop_
_atom_site_label
_atom_site_type_symbol
_atom_site_fract_x
_atom_site_fract_y
_atom_site_fract_z
Pm1 Pm 0.0000 0.0000 0.0000
Pm2 Pm 0.0000 0.2446 0.5000
Nd1 Nd 0.0555 0.5000 0.2884
Nd2 Nd 0.1533 0.0000 0.5494
Nd3 Nd 0.1729 0.2563 0.1713
Tm1 Tm 0.2122 0.5000 0.8573
# ΔE to the lowest computed polymorph: 0 meV/atom
# size of the total moment: 0.000 Bohr magnetons per cell
# DFT formation energy: 194 kJ/mol of formula units